This record from OQMD via LeMat-Bulk describes a relaxed structure of SnPPdO. The functional is PBE-GGA.

abc: 3.437 6.709 6.606
angles: 90.00 90.00 90.00
Fractional positions:
O  0.000  0.830  0.394
O  0.000  0.170  0.894
P  0.500  0.305  0.357
P  0.500  0.695  0.857
Pd  0.000  0.813  0.037
Pd  0.000  0.187  0.537
Sn  0.500  0.670  0.466
Sn  0.500  0.330  0.966

Properties
Volume ... 19.0 A^3/atom
SG ... No. 26
E above lowest polymorph ... 228.7 meV per atom
Raw total energy ... -5.32 eV per atom

=====

This record from OQMD via LeMat-Bulk describes a relaxed structure of Zr3AuN2. The functional is PBE-GGA.

abc: 3.322 3.322 19.071
angles: 90.00 90.00 120.00
Fractional positions:
Au  0.000  0.000  0.250
Au  0.000  0.000  0.750
N  0.333  0.667  0.071
N  0.333  0.667  0.429
N  0.667  0.333  0.571
N  0.667  0.333  0.929
Zr  0.000  0.000  0.000
Zr  0.667  0.333  0.133
Zr  0.667  0.333  0.367
Zr  0.000  0.000  0.500
Zr  0.333  0.667  0.633
Zr  0.333  0.667  0.867

Properties
Volume ... 15.2 A^3/atom
SG ... No. 194
Raw total energy ... -8.84 eV per atom

=====

This record from OQMD via LeMat-Bulk describes a relaxed structure of Si3Ag2Sn2. The functional is PBE-GGA.

abc: 8.487 8.487 8.487
angles: 31.35 31.35 31.35
Fractional positions:
Ag  0.249  0.249  0.249
Ag  0.765  0.765  0.765
Si  0.379  0.379  0.379
Si  0.600  0.600  0.600
Si  0.883  0.883  0.883
Sn  0.010  0.010  0.010
Sn  0.489  0.489  0.489

Properties
Volume ... 21.0 A^3/atom
SG ... No. 160
Raw total energy ... -3.86 eV per atom

=====

This record from OQMD via LeMat-Bulk describes a relaxed structure of TlAg3. The functional is PBE-GGA.

abc: 5.363 5.363 5.363
angles: 133.95 133.95 67.17
Fractional positions:
Ag  0.500  0.500  0.000
Ag  0.750  0.250  0.500
Ag  0.250  0.750  0.500
Tl  0.000  0.000  0.000

Properties
Volume ... 19.7 A^3/atom
SG ... No. 139
Raw total energy ... -2.62 eV per atom

=====

This record from OQMD via LeMat-Bulk describes a relaxed structure of BaNbCuNi. The functional is PBE-GGA.

abc: 4.909 4.909 4.909
angles: 60.00 60.00 60.00
Fractional positions:
Ba  0.500  0.500  0.500
Cu  0.750  0.750  0.750
Nb  0.000  0.000  0.000
Ni  0.250  0.250  0.250

Properties
Volume ... 20.9 A^3/atom
SG ... No. 216
E above lowest polymorph ... 0.0 meV per atom
Raw total energy ... -4.53 eV per atom

=====

This record from OQMD via LeMat-Bulk describes a relaxed structure of GdTmCu2As4. The functional is PBE-GGA.

abc: 3.911 3.911 9.840
angles: 90.00 90.00 90.00
Fractional positions:
As  0.500  0.500  0.342
As  0.000  0.000  0.663
As  0.500  0.000  0.996
As  0.000  0.500  0.996
Cu  0.500  0.000  0.502
Cu  0.000  0.500  0.502
Gd  0.000  0.000  0.236
Tm  0.500  0.500  0.763

Properties
Volume ... 18.8 A^3/atom
SG ... No. 99
Raw total energy ... -5.21 eV per atom

=====

This record from OQMD via LeMat-Bulk describes a relaxed structure of Hf3Ni3As4Pd. The functional is PBE-GGA.

abc: 6.463 3.842 7.330
angles: 90.00 90.81 90.00
Fractional positions:
As  0.747  0.000  0.095
As  0.246  0.000  0.376
As  0.766  0.500  0.651
As  0.233  0.500  0.875
Hf  0.027  0.500  0.177
Hf  0.535  0.500  0.316
Hf  0.470  0.000  0.696
Ni  0.365  0.000  0.063
Ni  0.150  0.500  0.557
Ni  0.613  0.500  0.947
Pd  0.851  0.000  0.444

Properties
Volume ... 16.5 A^3/atom
SG ... No. 6
E above lowest polymorph ... 0.0 meV per atom
Raw total energy ... -7.15 eV per atom

=====

This record from OQMD via LeMat-Bulk describes a relaxed structure of Hf3Fe2Re2. The functional is PBE-GGA.

abc: 7.635 7.635 7.635
angles: 33.83 33.83 33.83
Fractional positions:
Fe  0.248  0.248  0.248
Fe  0.755  0.755  0.755
Hf  0.377  0.377  0.377
Hf  0.624  0.624  0.624
Hf  0.872  0.872  0.872
Re  0.003  0.003  0.003
Re  0.497  0.497  0.497

Properties
Volume ... 17.6 A^3/atom
SG ... No. 160
Raw total energy ... -9.82 eV per atom